Record 1
Here is a relaxed structure of CsNpMn2Te4 from Alexandria. Energies are from GGA-PBE.

## Properties
* electronic total energy: -90.70 eV for the cell shown

```
data_CsNpMn2Te4
_chemical_formula_sum 'Cs2 Np2 Mn4 Te8'
_symmetry_space_group_name_H-M 'I 2 2 2'
_symmetry_Int_Tables_number 23
_cell_length_a 4.0550
_cell_length_b 9.9830
_cell_length_c 13.6186
_cell_angle_alpha 90.00
_cell_angle_beta 90.00
_cell_angle_gamma 90.00
loop_
_symmetry_equiv_pos_as_xyz
'x,y,z'
'-x,-y,z'
'x,-y,-z'
'-x,y,-z'
'x+1/2,y+1/2,z+1/2'
'-x+1/2,-y+1/2,z+1/2'
'x+1/2,-y+1/2,-z+1/2'
'-x+1/2,y+1/2,-z+1/2'
loop_
_atom_site_label
_atom_site_fract_x
_atom_site_fract_y
_atom_site_fract_z
Cs1 0.0000 0.0000 0.0000
Np1 0.0000 0.0000 0.5000
Mn1 0.0000 0.5000 0.0874
Te1 0.2215 0.2059 0.3428
```



Record 2
Here is a relaxed structure of KIn9P2 from Alexandria. Energies are from GGA-PBE.

## Properties
* E_form: 52 meV/atom

```
data_KIn9P2
_chemical_formula_sum 'K1 In9 P2'
_symmetry_space_group_name_H-M 'P 6/m m m'
_symmetry_Int_Tables_number 191
_symmetry_space_group_name_Hall '-P 6 2'
_cell_length_a 10.1553
_cell_length_b 10.1553
_cell_length_c 3.8173
_cell_angle_alpha 90.00
_cell_angle_beta 90.00
_cell_angle_gamma 120.00
loop_
_atom_site_label
_atom_site_fract_x
_atom_site_fract_y
_atom_site_fract_z
K1 0.0000 0.0000 0.0000
In1 0.0000 0.5000 0.0000
In2 0.2018 0.4036 0.5000
P1 0.3333 0.6667 0.0000
```



Record 3
Here is a relaxed structure of NaInRuRh2 from Alexandria. Energies are from GGA-PBE.

## Properties
* E_form: 1540 meV/atom

```
data_NaInRuRh2
_chemical_formula_sum 'Na1 In1 Ru1 Rh2'
_symmetry_space_group_name_H-M 'P 4/m m m'
_symmetry_Int_Tables_number 123
_symmetry_space_group_name_Hall '-P 4 2'
_cell_length_a 4.4834
_cell_length_b 4.4834
_cell_length_c 4.5799
_cell_angle_alpha 90.00
_cell_angle_beta 90.00
_cell_angle_gamma 90.00
loop_
_atom_site_label
_atom_site_fract_x
_atom_site_fract_y
_atom_site_fract_z
Na1 0.0000 0.0000 0.0000
In1 0.5000 0.5000 0.5000
Ru1 0.0000 0.0000 0.5000
Rh1 0.0000 0.5000 0.0000
```



Record 4
Here is a relaxed structure of V7Ir16Os6 from Alexandria. Energies are from GGA-PBE.

## Properties
* E_form: 22 meV/atom

```
data_V7Ir16Os6
_chemical_formula_sum 'V28 Ir64 Os24'
_symmetry_space_group_name_H-M 'F m -3 m'
_symmetry_Int_Tables_number 225
_symmetry_space_group_name_Hall '-F 4 2 3'
_cell_length_a 12.0201
_cell_length_b 12.0201
_cell_length_c 12.0201
_cell_angle_alpha 90.00
_cell_angle_beta 90.00
_cell_angle_gamma 90.00
loop_
_atom_site_label
_atom_site_fract_x
_atom_site_fract_y
_atom_site_fract_z
V1 0.0000 0.0000 0.0000
V2 0.0000 0.2500 0.2500
Ir1 0.1180 0.1180 0.1180
Ir2 0.1617 0.1617 0.3383
Os1 0.0000 0.0000 0.3430
```



Record 5
Here is a relaxed structure of RhAu from Alexandria. Energies are from GGA-PBE.

## Properties
* E_form: 152 meV/atom

```
data_RhAu
_chemical_formula_sum 'Rh2 Au2'
_symmetry_space_group_name_H-M 'P m m n'
_symmetry_Int_Tables_number 59
_cell_length_a 2.8679
_cell_length_b 3.8246
_cell_length_c 5.9197
_cell_angle_alpha 90.00
_cell_angle_beta 90.00
_cell_angle_gamma 90.00
loop_
_symmetry_equiv_pos_as_xyz
'x,y,z'
'-x,-y,-z'
'-x+1/2,-y+1/2,z'
'x+1/2,y+1/2,-z'
'x+1/2,-y,-z'
'-x+1/2,y,z'
'-x,y+1/2,-z'
'x,-y+1/2,z'
loop_
_atom_site_label
_atom_site_fract_x
_atom_site_fract_y
_atom_site_fract_z
Rh1 0.2500 0.2500 0.1008
Au1 0.2500 0.2500 0.6316
```



Record 6
Here is a relaxed structure of Sc2TeAs from Alexandria. Energies are from GGA-PBE.

## Properties
* electronic total energy: -85.94 eV for the cell shown

```
data_Sc2TeAs
_chemical_formula_sum 'Sc8 Te4 As4'
_symmetry_space_group_name_H-M 'F -4 3 m'
_symmetry_Int_Tables_number 216
_symmetry_space_group_name_Hall 'F -4 2 3'
_cell_length_a 7.0418
_cell_length_b 7.0418
_cell_length_c 7.0418
_cell_angle_alpha 90.00
_cell_angle_beta 90.00
_cell_angle_gamma 90.00
loop_
_atom_site_label
_atom_site_fract_x
_atom_site_fract_y
_atom_site_fract_z
Sc1 0.0000 0.0000 0.0000
Sc2 0.2500 0.2500 0.2500
Te1 0.2500 0.2500 0.7500
As1 0.0000 0.0000 0.5000
```



Record 7
Here is a relaxed structure of NbSi2SbTe from Alexandria. Energies are from GGA-PBE.

## Properties
* electronic total energy: -25.12 eV for the cell shown

```
data_NbSi2SbTe
_chemical_formula_sum 'Nb1 Si2 Sb1 Te1'
_symmetry_space_group_name_H-M 'P 4/m m m'
_symmetry_Int_Tables_number 123
_symmetry_space_group_name_Hall '-P 4 2'
_cell_length_a 4.9508
_cell_length_b 4.9508
_cell_length_c 5.4394
_cell_angle_alpha 90.00
_cell_angle_beta 90.00
_cell_angle_gamma 90.00
loop_
_atom_site_label
_atom_site_fract_x
_atom_site_fract_y
_atom_site_fract_z
Nb1 0.0000 0.0000 0.0000
Si1 0.0000 0.5000 0.0000
Sb1 0.0000 0.0000 0.5000
Te1 0.5000 0.5000 0.5000
```



Record 8
Here is a relaxed structure of K2LaTl from Alexandria. Energies are from GGA-PBE.

## Properties
* offset from the most stable computed form: 178.0 meV/atom
* E_form: 164 meV/atom

```
data_K2LaTl
_chemical_formula_sum 'K4 La2 Tl2'
_symmetry_space_group_name_H-M 'I m m 2'
_symmetry_Int_Tables_number 44
_cell_length_a 3.8328
_cell_length_b 6.8808
_cell_length_c 14.1235
_cell_angle_alpha 90.00
_cell_angle_beta 90.00
_cell_angle_gamma 90.00
loop_
_symmetry_equiv_pos_as_xyz
'x,y,z'
'-x,-y,z'
'-x,y,z'
'x,-y,z'
'x+1/2,y+1/2,z+1/2'
'-x+1/2,-y+1/2,z+1/2'
'-x+1/2,y+1/2,z+1/2'
'x+1/2,-y+1/2,z+1/2'
loop_
_atom_site_label
_atom_site_fract_x
_atom_site_fract_y
_atom_site_fract_z
K1 0.0000 0.0000 0.0000
K2 0.0000 0.5000 0.2000
La1 0.0000 0.5000 0.8032
Tl1 0.0000 0.0000 0.4850
```



Record 9
Here is a relaxed structure of Ac3RhSe2 from Alexandria. Energies are from GGA-PBE.

## Properties
* electronic total energy: -70.82 eV for the cell shown

```
data_Ac3RhSe2
_chemical_formula_sum 'Ac6 Rh2 Se4'
_symmetry_space_group_name_H-M 'I m m m'
_symmetry_Int_Tables_number 71
_symmetry_space_group_name_Hall '-I 2 2'
_cell_length_a 4.2839
_cell_length_b 6.3433
_cell_length_c 13.9617
_cell_angle_alpha 90.00
_cell_angle_beta 90.00
_cell_angle_gamma 90.00
loop_
_atom_site_label
_atom_site_fract_x
_atom_site_fract_y
_atom_site_fract_z
Ac1 0.0000 0.0000 0.0000
Ac2 0.0000 0.0000 0.3516
Rh1 0.0000 0.5000 0.0000
Se1 0.0000 0.5000 0.3263
```



Record 10
Here is a relaxed structure of AcPm2Sm3S6 from Alexandria. Energies are from GGA-PBE.

## Properties
* electronic total energy: -153.40 eV for the cell shown

```
data_AcPm2Sm3S6
_chemical_formula_sum 'Ac2 Pm4 Sm6 S12'
_symmetry_space_group_name_H-M 'C 1 2/m 1'
_symmetry_Int_Tables_number 12
_cell_length_a 7.0336
_cell_length_b 12.2227
_cell_length_c 7.0527
_cell_angle_alpha 90.00
_cell_angle_beta 109.55
_cell_angle_gamma 90.00
loop_
_symmetry_equiv_pos_as_xyz
'x,y,z'
'-x,-y,-z'
'-x,y,-z'
'x,-y,z'
'x+1/2,y+1/2,z'
'-x+1/2,-y+1/2,-z'
'-x+1/2,y+1/2,-z'
'x+1/2,-y+1/2,z'
loop_
_atom_site_label
_atom_site_fract_x
_atom_site_fract_y
_atom_site_fract_z
Ac1 0.0000 0.0000 0.0000
Pm1 0.0000 0.3327 0.0000
Sm1 0.0000 0.1644 0.5000
Sm2 0.0000 0.5000 0.5000
S1 0.2422 0.3290 0.7407
S2 0.2428 0.5000 0.2559
```